[1]
Compound: GaPb2I
Source: Alexandria
Functional: PBE
Structure: optimized geometry

```
data_GaPb2I
_chemical_formula_sum 'Ga4 Pb8 I4'
_cell_length_a 6.935
_cell_length_b 6.935
_cell_length_c 14.507
_cell_angle_alpha 90.00
_cell_angle_beta 90.00
_cell_angle_gamma 90.00
_symmetry_space_group_name_H-M 'P 1'
_symmetry_Int_Tables_number 1
loop_
_symmetry_equiv_pos_as_xyz
'x,y,z'
loop_
_atom_site_label
_atom_site_type_symbol
_atom_site_fract_x
_atom_site_fract_y
_atom_site_fract_z
Ga1 Ga 0.000 0.000 0.000
Ga2 Ga 0.000 0.500 0.250
Ga3 Ga 0.500 0.000 0.750
Ga4 Ga 0.500 0.500 0.500
Pb1 Pb 0.187 0.250 0.125
Pb2 Pb 0.250 0.687 0.375
Pb3 Pb 0.250 0.813 0.875
Pb4 Pb 0.313 0.250 0.625
Pb5 Pb 0.687 0.750 0.625
Pb6 Pb 0.750 0.187 0.875
Pb7 Pb 0.750 0.313 0.375
Pb8 Pb 0.813 0.750 0.125
I1 I 0.000 0.000 0.500
I2 I 0.000 0.500 0.750
I3 I 0.500 0.000 0.250
I4 I 0.500 0.500 0.000
```

Computed properties:
crystal system = tetragonal
DOS at the Fermi energy = 8.37 states/eV/cell
density = 5.8 g cm⁻³
polymorph energy (0 for the lowest one) = 205 meV per atom
ΔE_f (raw) = 187 meV per atom

=====

[2]
Compound: AgSb3P
Source: Alexandria
Functional: PBE
Structure: optimized geometry

```
data_AgSb3P
_chemical_formula_sum 'Ag1 Sb3 P1'
_cell_length_a 5.302
_cell_length_b 5.302
_cell_length_c 5.302
_cell_angle_alpha 90.00
_cell_angle_beta 90.00
_cell_angle_gamma 90.00
_symmetry_space_group_name_H-M 'P 1'
_symmetry_Int_Tables_number 1
loop_
_symmetry_equiv_pos_as_xyz
'x,y,z'
loop_
_atom_site_label
_atom_site_type_symbol
_atom_site_fract_x
_atom_site_fract_y
_atom_site_fract_z
Ag1 Ag 0.000 0.000 0.000
Sb1 Sb 0.000 0.000 0.500
Sb2 Sb 0.000 0.500 0.000
Sb3 Sb 0.500 0.000 0.000
P1 P 0.500 0.500 0.500
```

Computed properties:
crystal system = cubic
DOS at the Fermi energy = 6.02 states/eV/cell
density = 5.6 g cm⁻³
polymorph energy (0 for the lowest one) = 363 meV per atom
ΔE_f (raw) = 1035 meV per atom

=====

[3]
Compound: MgOsRu
Source: Alexandria
Functional: PBE
Structure: optimized geometry

```
data_MgOsRu
_chemical_formula_sum 'Mg2 Os2 Ru2'
_cell_length_a 3.810
_cell_length_b 3.810
_cell_length_c 6.781
_cell_angle_alpha 90.00
_cell_angle_beta 90.00
_cell_angle_gamma 90.00
_symmetry_space_group_name_H-M 'P 1'
_symmetry_Int_Tables_number 1
loop_
_symmetry_equiv_pos_as_xyz
'x,y,z'
loop_
_atom_site_label
_atom_site_type_symbol
_atom_site_fract_x
_atom_site_fract_y
_atom_site_fract_z
Mg1 Mg 0.250 0.250 0.170
Mg2 Mg 0.750 0.750 0.830
Os1 Os 0.250 0.250 0.769
Os2 Os 0.750 0.750 0.231
Ru1 Ru 0.250 0.750 0.500
Ru2 Ru 0.750 0.250 0.500
```

Computed properties:
crystal system = tetragonal
DOS at the Fermi energy = 6.33 states/eV/cell
density = 10.6 g cm⁻³
polymorph energy (0 for the lowest one) = 492 meV per atom
energy of formation = 12.98 kcal/mol of atoms